# Al5CuPd6

A relaxed Al5CuPd6 crystal (PBE-GGA, Alexandria via LeMat-Bulk).

Results
- formation energy (eV/atom) = -0.796
- E_tot (eV per cell) = -63.5
- calculated density (g/cm3) = 8.032
- space-group type = No. 12

Structure (POSCAR):
```
Al5CuPd6
1.0
3.7743 -6.4686 0.0000
3.7743 6.4686 0.0000
-2.4606 0.0000 3.5437
Al Cu Pd
5 1 6
Cartesian
0.0000 0.0000 0.0000
2.5440 4.3031 1.7718
3.7743 2.0715 0.0000
3.7743 -2.0715 0.0000
2.5440 -4.3031 1.7718
2.5440 0.0000 1.7718
1.2473 2.2013 0.8698
-0.0086 0.0000 2.6248
1.2473 -2.2013 0.8698
3.8408 2.2013 2.6739
5.0967 0.0000 0.9189
3.8408 -2.2013 2.6739
```